Compound: Ba2LiCaO
Source: Alexandria
Functional: PBE
Structure: relaxed

Calculated values
**DFT total energy**: -3.523 eV/atom
**Formation energy from raw total energies**: -0.979 eV per atom

Unit cell a=5.9006 b=5.9006 c=4.6905 alpha=90.00 beta=90.00 gamma=90.00
Closest atoms and distances in Å follow each position.
Element x y z (fractional)
Ca 0.0000 0.0000 0.5000  2 O 2.35
Ba 0.0000 0.5000 0.0000  2 O 2.95
Ba 0.5000 0.0000 0.0000  2 O 2.95
O 0.0000 0.0000 0.0000  2 Ca 2.35
Li 0.5000 0.5000 0.5000  8 Ba 3.77, 4 Ca 4.17